No. 1
Computed, not measured: a relaxed structure of PmDy2Zn6 at the PBE level of DFT.

Lattice parameters (Å, degrees): 7.8000 7.8000 3.5326 90.00 90.00 120.00
Space group P6/mmm (No. 191)
Unique sites:
Pm1 0.0000 0.0000 0.0000 x1
Dy1 0.3333 0.6667 0.0000 x2
Zn1 0.0000 0.3358 0.5000 x6

Properties
Its uncorrected energy is -2.771 eV/atom. The formation energy is -371 meV per atom.

No. 2
Computed, not measured: a relaxed structure of TcBiSbI2 at the PBE level of DFT.

Lattice parameters (Å, degrees): 5.398 5.398 5.256 90.00 90.00 90.00
Space group P4/mmm (No. 123)
Unique sites:
Tc1 0.000 0.000 0.000 x1
Bi1 0.500 0.500 0.500 x1
Sb1 0.000 0.000 0.500 x1
I1 0.000 0.500 0.000 x2

Properties
The energy relative to the lowest polymorph listed for this composition comes out at 0.0 meV per atom. Its uncorrected energy is -3.716 eV/atom. Its raw formation energy is 0.578 eV/atom.

No. 3
Computed, not measured: a relaxed structure of MoP at the PBE level of DFT.

Lattice parameters (Å, degrees): 5.425 5.425 5.425 90.00 90.00 90.00
Space group F-43m (No. 216)
Unique sites:
Mo1 0.000 0.000 0.000 x4
P1 0.250 0.250 0.250 x4

Properties
Its uncorrected energy is -7.889 eV/atom. The formation energy is 231 meV per atom.